No. 1
The following is a DFT calculation (PBE-GGA) of crystalline Tm7Mg2Hg2 at its relaxed geometry.

formation enthalpy at 0 K: 0.0884 eV per atom
total energy: -3.10 eV/atom
space group: Cmmm, No. 65

```
Tm7Mg2Hg2
1.0
0.8638 -6.3747 -2.1929
-0.5895 -2.5561 7.1985
-6.5970 1.6338 0.0400
Tm Mg Hg
7 2 2
Cartesian
-2.6012 -6.2787 -0.1426 Tm
-6.5883 -3.3889 4.1117 Tm
-3.7215 -1.0183 5.1882 Tm
0.2656 -3.9081 0.9339 Tm
0.0000 0.0000 0.0000 Tm
-3.3055 -4.2737 4.2833 Tm
-3.0172 -3.0233 0.7623 Tm
-5.0291 -5.1930 1.8214 Mg
-1.2936 -2.1041 3.2241 Mg
-1.3292 -4.0207 -1.5366 Hg
-4.9935 -3.2763 6.5821 Hg
```

***

No. 2
The following is a DFT calculation (PBE-GGA) of crystalline DyHo2Tl3Te6 at its relaxed geometry.

total energy: -4.36 eV/atom
space group: C2/m, No. 12
energy relative to the elements, uncorrected: -12.58 eV/f.u.

```
DyHo2Tl3Te6
1.0
-1.1070 6.2066 4.4068
4.0930 -5.9370 2.6770
5.8401 3.2659 -5.3709
Dy Ho Tl Te
1 2 3 6
Cartesian
0.0000 0.0000 0.0000 Dy
2.3597 -1.8893 3.2535 Ho
0.6263 2.1589 3.8302 Ho
6.1473 -2.2823 0.2795 Tl
2.6788 5.8177 1.4333 Tl
4.4131 1.7677 0.8564 Tl
6.0047 4.8069 1.4576 Te
3.4399 0.8923 4.0768 Te
2.8214 -1.2714 0.2552 Te
7.7431 0.7472 0.8793 Te
5.3863 2.6432 -2.3639 Te
1.0830 2.7882 0.8335 Te
```

***

No. 3
The following is a DFT calculation (PBE-GGA) of crystalline NbCrMoRh at its relaxed geometry.

formation enthalpy at 0 K: -0.0516 eV per atom
total energy: -9.52 eV/atom
space group: F-43m, No. 216

```
NbCrMoRh
1.0
4.4297 0.0000 0.0000
2.2148 3.8362 0.0000
2.2148 1.2787 3.6168
Cr Mo Rh Nb
1 1 1 1
Cartesian
6.6445 3.8362 2.7126 Cr
4.4297 2.5575 1.8084 Mo
0.0000 0.0000 0.0000 Rh
2.2148 1.2787 0.9042 Nb
```

***

No. 4
The following is a DFT calculation (PBE-GGA) of crystalline Tb6AsSe3S2 at its relaxed geometry.

total energy: -6.10 eV/atom
space group: C2/m, No. 12
energy relative to the elements, uncorrected: -22.11 eV/f.u.

```
Tb6AsSe3S2
1.0
6.9703 -0.0005 0.0012
-3.4839 6.0372 0.0012
-1.1618 -2.0116 6.7106
Tb As Se S
6 1 3 2
Cartesian
3.5031 1.9769 5.1743 Tb
2.3029 3.9874 1.5382 Tb
-1.1785 2.0481 1.5387 Tb
-0.0384 4.0223 5.1743 Tb
0.0217 0.0376 5.1748 Tb
2.3630 0.0027 1.5387 Tb
0.0000 0.0000 0.0000 As
-2.3397 4.0350 3.3565 Se
4.6642 -0.0100 3.3565 Se
1.1623 2.0125 3.3565 Se
-0.0021 4.0263 0.0012 S
3.4885 2.0103 0.0012 S
```

***

No. 5
The following is a DFT calculation (PBE-GGA) of crystalline CsYSnSe3 at its relaxed geometry.

total energy: -4.84 eV/atom
space group: Cmcm, No. 63
energy relative to the elements, uncorrected: -7.28 eV/f.u.

```
CsYSnSe3
1.0
-0.9078 -2.9415 2.7741
7.6890 -3.0893 -3.8545
6.4931 5.8157 8.2914
Cs Y Sn Se
2 2 2 6
Cartesian
7.2554 1.1015 6.6372 Cs
6.0189 -1.3164 0.5738 Cs
3.2466 2.9079 4.1457 Y
0.0000 0.0000 0.0000 Y
10.5719 0.7680 4.2739 Sn
2.7024 -0.9830 2.9371 Sn
4.3333 0.3937 4.9304 Se
8.9411 -0.6086 2.2805 Se
12.0926 2.2141 6.3048 Se
1.1817 -2.4291 0.9061 Se
11.6262 -1.6533 5.1466 Se
1.6481 1.4383 2.0644 Se
```

***

No. 6
The following is a DFT calculation (PBE-GGA) of crystalline SrPmGeBi at its relaxed geometry.

formation enthalpy at 0 K: -0.4986 eV per atom
total energy: -4.23 eV/atom
space group: F-43m, No. 216

```
SrPmGeBi
1.0
-1.7217 5.2118 -0.8132
-5.3765 1.0376 -0.8973
-3.0173 2.5635 3.8875
Sr Ge Bi Pm
1 1 1 1
Cartesian
-2.5289 2.2032 0.5443 Sr
-5.0578 4.4065 1.0885 Ge
0.0000 0.0000 0.0000 Bi
-7.5867 6.6097 1.6328 Pm
```

***

No. 7
The following is a DFT calculation (PBE-GGA) of crystalline Li3Ag2 at its relaxed geometry.

excess energy over the best structure of this formula in the dataset: 121 meV/atom
formation enthalpy at 0 K: -0.0679 eV per atom
total energy: -2.36 eV/atom
space group: R-3c, No. 167

```
Li3Ag2
1.0
-2.3011 2.2816 -4.2133
-2.2762 -3.0127 -3.7411
-7.7365 0.0435 0.8961
Ag Li
4 6
Cartesian
-8.0433 -0.5708 -5.9746 Ag
-1.8865 -0.2270 -2.4454 Ag
-4.2704 -0.1168 -1.0837 Ag
-10.4273 -0.4606 -4.6129 Ag
-8.0531 -1.6878 -3.1292 Li
-8.1285 0.9492 -3.4746 Li
-6.9470 -0.0774 -1.3230 Li
-4.1853 -1.6368 -3.5837 Li
-5.3667 -0.6102 -5.7353 Li
-4.2606 1.0002 -3.9291 Li
```

***

No. 8
The following is a DFT calculation (PBE-GGA) of crystalline BaLaSc at its relaxed geometry.

excess energy over the best structure of this formula in the dataset: 68 meV/atom
formation enthalpy at 0 K: 0.2453 eV per atom
total energy: -4.15 eV/atom
space group: Pnma, No. 62

```
BaLaSc
1.0
9.1493 0.0000 0.0000
0.0000 3.8934 0.0000
0.0000 0.0000 12.9562
Sc Ba La
4 4 4
Cartesian
7.9150 0.9734 9.3667 Sc
5.8088 2.9201 2.8887 Sc
1.2342 2.9201 3.5894 Sc
3.3404 0.9734 10.0675 Sc
7.6898 0.9734 5.3801 Ba
6.0341 2.9201 11.8581 Ba
1.4595 2.9201 7.5761 Ba
3.1151 0.9734 1.0980 Ba
3.7848 0.9734 4.9229 La
0.7899 2.9201 11.4010 La
5.3645 2.9201 8.0333 La
8.3594 0.9734 1.5552 La
```

***

No. 9
The following is a DFT calculation (PBE-GGA) of crystalline Ir2C at its relaxed geometry.

excess energy over the best structure of this formula in the dataset: 317 meV/atom
formation enthalpy at 0 K: 0.8745 eV per atom
total energy: -8.11 eV/atom
space group: P4/mmm, No. 123

```
Ir2C
1.0
3.0541 0.0000 0.0000
0.0000 3.0541 0.0000
0.0000 0.0000 4.0185
C Ir
1 2
Cartesian
0.0000 0.0000 0.0000 C
0.0000 0.0000 2.0092 Ir
1.5271 1.5271 0.0000 Ir
```

***

No. 10
The following is a DFT calculation (PBE-GGA) of crystalline Y2SiHgGe at its relaxed geometry.

total energy: -4.65 eV/atom
space group: P4/mmm, No. 123
energy relative to the elements, uncorrected: 0.00 eV/f.u.

```
Y2SiHgGe
1.0
5.4684 0.0000 0.0000
0.0000 4.5907 0.0000
0.0000 0.0000 5.4684
Y Ge Si Hg
2 1 1 1
Cartesian
0.0000 0.0000 2.7342 Y
2.7342 0.0000 0.0000 Y
0.0000 0.0000 0.0000 Ge
0.0000 2.2953 0.0000 Si
2.7342 2.2953 2.7342 Hg
```

***

No. 11
The following is a DFT calculation (PBE-GGA) of crystalline Ce2Ga2NiGe4 at its relaxed geometry.

formation enthalpy at 0 K: -0.5255 eV per atom
total energy: -5.21 eV/atom
space group: I4/mmm, No. 139

```
Ce2Ga2NiGe4
1.0
6.2027 -0.0084 -0.0121
-2.9847 5.4373 0.0121
-2.9847 -1.8990 5.0950
Ce Ga Ni Ge
2 2 1 4
Cartesian
0.1166 3.5991 1.2768 Ce
0.1166 -0.0691 3.8182 Ce
-4.2841 2.5393 3.6652 Ga
-1.6854 0.9990 1.4419 Ga
0.0000 0.0000 0.0000 Ni
-2.9847 3.4361 1.3986 Ge
-1.5224 2.5693 3.7084 Ge
-2.9847 0.1023 3.7084 Ge
1.7557 0.9607 1.3866 Ge
```

***

No. 12
The following is a DFT calculation (PBE-GGA) of crystalline PuHf2Pd at its relaxed geometry.

excess energy over the best structure of this formula in the dataset: 173 meV/atom
formation enthalpy at 0 K: -0.0902 eV per atom
total energy: -9.95 eV/atom
space group: R3m, No. 160

```
PuHf2Pd
1.0
3.1496 0.0000 0.0000
1.5748 2.7277 0.0000
1.5748 0.9092 9.6961
Pu Hf Pd
1 2 1
Cartesian
3.1496 1.8184 4.8673 Pu
1.5748 0.9092 7.4729 Hf
1.5748 0.9092 2.2199 Hf
4.7244 2.7277 9.6800 Pd
```